Compound: Li3Hg5Bi2
Source: the Alexandria database
Functional: GGA-PBE
Structure: relaxed

Calculated values
Space-group type = C2/c (15)
Total DFT energy (no corrections) = -1.692 eV per atom
DOS at the Fermi energy = 0.340 states/eV/atom

Cell: 6.7269 8.6720 8.6718 Å, 105.93 95.56 95.56°
Closest atoms and distances in Å follow each position.
Element x y z (fractional)
Li: 0.5850 0.5079 0.7962  6 Hg 2.90-3.10, 1 Bi 3.22
Li: 0.0850 0.7962 0.5079  6 Hg 2.90-3.10, 1 Bi 3.22
Li: 0.4150 0.4921 0.2038  6 Hg 2.90-3.10, 1 Bi 3.22
Li: 0.9150 0.2038 0.4921  6 Hg 2.90-3.10, 1 Bi 3.22
Li: 0.2500 0.0466 0.9534  8 Hg 2.90-3.14
Li: 0.7500 0.9534 0.0466  8 Hg 2.90-3.14
Hg: 0.6123 0.2599 0.9615  4 Li 2.90-3.14, 2 Hg 3.03-3.19, 2 Bi 3.20-3.21
Hg: 0.1123 0.9615 0.2599  4 Li 2.90-3.14, 2 Hg 3.03-3.19, 2 Bi 3.20-3.21
Hg: 0.3877 0.7401 0.0385  4 Li 2.90-3.14, 2 Hg 3.03-3.19, 2 Bi 3.20-3.21
Hg: 0.8877 0.0385 0.7401  4 Li 2.90-3.14, 2 Hg 3.03-3.19, 2 Bi 3.20-3.21
Hg: 0.9601 0.7254 0.8133  4 Li 2.97-3.11, 3 Hg 3.03-3.29, 1 Bi 3.31
Hg: 0.0399 0.2746 0.1867  4 Li 2.97-3.11, 3 Hg 3.03-3.29, 1 Bi 3.31
Hg: 0.7500 0.5157 0.4843  4 Li 3.04-3.10, 4 Hg 3.05-3.39
Hg: 0.2500 0.4843 0.5157  4 Li 3.04-3.10, 4 Hg 3.05-3.39
Hg: 0.5399 0.1867 0.2746  4 Li 2.97-3.11, 3 Hg 3.03-3.29, 1 Bi 3.31
Hg: 0.4601 0.8133 0.7254  4 Li 2.97-3.11, 3 Hg 3.03-3.29, 1 Bi 3.31
Bi: 0.8678 0.6060 0.1385  5 Hg 3.20-3.44, 4 Li 3.22-3.46, 2 Bi 3.32-3.37
Bi: 0.3678 0.1385 0.6060  5 Hg 3.20-3.44, 4 Li 3.22-3.46, 2 Bi 3.32-3.37
Bi: 0.1322 0.3940 0.8615  5 Hg 3.20-3.44, 4 Li 3.22-3.46, 2 Bi 3.32-3.37
Bi: 0.6322 0.8615 0.3940  5 Hg 3.20-3.44, 4 Li 3.22-3.46, 2 Bi 3.32-3.37